ScZn2RuF: single point on PBEsol structure, SCAN.

a = 4.226 Å, b = 4.226 Å, c = 4.265 Å
α = 90.00°, β = 90.00°, γ = 90.00°
Atoms (fractional coordinates):
Sc 0.500 0.500 0.500
Ru 0.000 0.000 0.500
Zn 0.000 0.500 0.000
Zn 0.500 0.000 0.000
F 0.000 0.000 0.000

Values from the calculation:
* uncorrected energy: -16.14 eV/atom
* formation energy from raw total energies: -0.209 eV per atom